Ba4Ac3NdTe8 | PBE | optimized geometry

Cell lengths 9.716, 9.716, 9.716 Å; angles 59.03, 59.03, 59.03 degrees
Element x y z (fractional)
Ba1 0.000 0.000 0.000
Ba2 0.000 0.500 0.500
Ba3 0.500 0.000 0.500
Ba4 0.500 0.500 0.000
Ac1 0.000 0.000 0.500
Ac2 0.000 0.500 0.000
Ac3 0.500 0.000 0.000
Nd1 0.500 0.500 0.500
Te1 0.246 0.246 0.246
Te2 0.251 0.740 0.740
Te3 0.260 0.260 0.749
Te4 0.260 0.749 0.260
Te5 0.740 0.251 0.740
Te6 0.740 0.740 0.251
Te7 0.749 0.260 0.260
Te8 0.754 0.754 0.754

Results
As for the uncorrected formation energy: -2500 kJ/mol of formula units. The space group is No. 166.

BaAc2Nd3Te6 | PBE | optimized geometry

Cell lengths 10.404, 10.404, 9.384 Å; angles 103.45, 103.45, 25.58 degrees
Element x y z (fractional)
Ba1 0.000 0.000 0.000
Ac1 0.331 0.331 0.664
Ac2 0.669 0.669 0.336
Nd1 0.000 0.000 0.500
Nd2 0.335 0.335 0.174
Nd3 0.665 0.665 0.826
Te1 0.162 0.162 0.590
Te2 0.173 0.173 0.075
Te3 0.499 0.499 0.265
Te4 0.501 0.501 0.735
Te5 0.827 0.827 0.925
Te6 0.838 0.838 0.410

Results
As for the uncorrected formation energy: -1729 kJ/mol of formula units. The space group is No. 12.

BaAcNdTl | PBE | optimized geometry

Cell lengths 6.011, 6.011, 6.011 Å; angles 60.00, 60.00, 60.00 degrees
Element x y z (fractional)
Ba1 0.000 0.000 0.000
Ac1 0.250 0.250 0.250
Nd1 0.500 0.500 0.500
Tl1 0.750 0.750 0.750

Results
Its formation energy is 0.3 eV per formula unit. The space group is No. 216.

BaAcNi4 | PBE | optimized geometry

Cell lengths 5.382, 5.382, 5.382 Å; angles 60.00, 60.00, 60.00 degrees
Element x y z (fractional)
Ba1 0.000 0.000 0.000
Ac1 0.250 0.250 0.250
Ni1 0.128 0.624 0.624
Ni2 0.624 0.128 0.624
Ni3 0.624 0.624 0.128
Ni4 0.624 0.624 0.624

Results
Its formation energy is 0.1 eV per formula unit. The space group is No. 216.

Ba2Ac4Ni | PBE | optimized geometry

Cell lengths 10.905, 10.905, 10.905 Å; angles 149.16, 149.16, 44.18 degrees
Element x y z (fractional)
Ba1 0.159 0.159 0.000
Ba2 0.841 0.841 0.000
Ac1 0.000 0.500 0.500
Ac2 0.356 0.356 0.000
Ac3 0.500 0.000 0.500
Ac4 0.644 0.644 0.000
Ni1 0.500 0.500 0.000

Results
Its formation energy is 0.9 eV per formula unit. The space group is No. 139.

BaAc2Ni | PBE | optimized geometry

Cell lengths 3.818, 3.818, 10.442 Å; angles 90.00, 90.00, 90.00 degrees
Element x y z (fractional)
Ba1 0.000 0.000 0.000
Ac1 0.500 0.500 0.336
Ac2 0.500 0.500 0.664
Ni1 0.000 0.000 0.500

Results
Its formation energy is 0.0 eV per formula unit. Its energy above the lowest structure with this stoichiometry is 0.101 eV per atom. The space group is No. 123.